[1]
Entry from the Alexandria database: an optimized crystal structure of Sm6As2AuSe3 (GGA-PBE).

Lattice parameters (Å, degrees): 4.179 8.471 9.423 103.01 102.81 90.00
Sites, in units of the cell vectors:
Sm 0.331 0.909 0.663
Sm 0.670 0.578 0.339
Sm 0.669 0.091 0.337
Sm 0.002 0.253 0.004
Sm 0.998 0.747 0.996
Sm 0.330 0.422 0.661
As 0.833 0.666 0.667
As 0.167 0.334 0.333
Au 0.500 0.000 0.000
Se 0.500 0.500 0.000
Se 0.833 0.167 0.665
Se 0.167 0.833 0.335

Output
* V: 26.37 Å³/atom
* energy: -0.215 Ha/atom
* formation energy from raw total energies: -1.574 eV per atom
* D(E_F): 4.4 states/eV per cell


[2]
Entry from the Alexandria database: an optimized crystal structure of Ni2POs (GGA-PBE).

Lattice parameters (Å, degrees): 3.466 3.466 8.952 78.84 78.84 90.00
Sites, in units of the cell vectors:
Ni 0.615 0.125 0.250
Ni 0.135 0.625 0.250
Ni 0.375 0.385 0.750
Ni 0.875 0.865 0.750
Os 0.000 0.000 0.000
Os 0.750 0.250 0.500
P 0.500 0.500 0.000
P 0.250 0.750 0.500

Output
* ΔH_f (0 K): 332 meV per atom
* V: 12.93 Å³/atom
* energy: -0.247 Ha/atom
* D(E_F): 11.7 states/eV per cell


[3]
Entry from the Alexandria database: an optimized crystal structure of BaCr2CoI (GGA-PBE).

Lattice parameters (Å, degrees): 5.211 6.595 5.211 90.00 90.00 90.00
Sites, in units of the cell vectors:
I 0.000 0.000 0.000
Cr 0.000 0.000 0.500
Cr 0.500 0.000 0.000
Co 0.500 0.500 0.500
Ba 0.000 0.500 0.000

Output
* V: 35.82 Å³/atom
* energy: -0.169 Ha/atom
* formation energy from raw total energies: 1.367 eV per atom
* D(E_F): 2.8 states/eV per cell


[4]
Entry from the Alexandria database: an optimized crystal structure of Na2TlSb2 (GGA-PBE).

Lattice parameters (Å, degrees): 5.071 5.071 7.371 69.88 69.88 90.00
Sites, in units of the cell vectors:
Sb 0.395 0.395 0.211
Sb 0.605 0.605 0.789
Tl 0.000 0.000 0.000
Na 0.750 0.250 0.500
Na 0.250 0.750 0.500

Output
* V: 33.12 Å³/atom
* energy: -0.103 Ha/atom
* formation energy from raw total energies: -0.161 eV per atom
* D(E_F): 2.3 states/eV per cell


[5]
Entry from the Alexandria database: an optimized crystal structure of KInRh2Au (GGA-PBE).

Lattice parameters (Å, degrees): 4.969 5.878 4.969 90.00 90.00 90.00
Sites, in units of the cell vectors:
Rh 0.000 0.000 0.500
Rh 0.500 0.000 0.000
K 0.000 0.500 0.000
Au 0.500 0.500 0.500
In 0.000 0.000 0.000

Output
* ΔH_f (0 K): 1012 meV per atom
* V: 29.02 Å³/atom
* energy: -0.123 Ha/atom
* D(E_F): 5.7 states/eV per cell


[6]
Entry from the Alexandria database: an optimized crystal structure of CaThTcN3 (GGA-PBE).

Lattice parameters (Å, degrees): 3.529 7.249 8.549 97.37 90.00 90.00
Sites, in units of the cell vectors:
Ca 0.750 0.844 0.861
Ca 0.250 0.156 0.139
Th 0.250 0.636 0.166
Th 0.750 0.364 0.834
Tc 0.250 0.040 0.613
Tc 0.750 0.960 0.387
N 0.250 0.838 0.424
N 0.750 0.887 0.153
N 0.750 0.408 0.115
N 0.750 0.162 0.576
N 0.250 0.592 0.885
N 0.250 0.113 0.847

Output
* V: 18.07 Å³/atom
* energy: -0.306 Ha/atom
* formation energy from raw total energies: -0.856 eV per atom
* D(E_F): 4.5 states/eV per cell


[7]
Entry from the Alexandria database: an optimized crystal structure of SrPa2RuO8 (GGA-PBE).

Lattice parameters (Å, degrees): 5.022 5.025 7.106 90.00 90.00 88.56
Sites, in units of the cell vectors:
Sr 0.000 0.000 0.500
Pa 0.500 0.500 0.756
Pa 0.500 0.500 0.244
Ru 0.000 0.000 0.000
O 0.198 0.801 0.205
O 0.704 0.706 0.000
O 0.802 0.199 0.205
O 0.802 0.199 0.795
O 0.296 0.294 0.000
O 0.198 0.801 0.795
O 0.670 0.673 0.500
O 0.330 0.327 0.500

Output
* V: 14.94 Å³/atom
* energy: -0.314 Ha/atom
* formation energy from raw total energies: -2.740 eV per atom
* D(E_F): 5.7 states/eV per cell


[8]
Entry from the Alexandria database: an optimized crystal structure of Rb2ScPb2 (GGA-PBE).

Lattice parameters (Å, degrees): 7.950 7.950 6.397 90.00 90.00 90.00
Sites, in units of the cell vectors:
Pb 0.340 0.840 0.000
Pb 0.840 0.660 0.000
Pb 0.660 0.160 0.000
Pb 0.160 0.340 0.000
Sc 0.000 0.000 0.000
Sc 0.500 0.500 0.000
Rb 0.163 0.663 0.500
Rb 0.663 0.837 0.500
Rb 0.837 0.337 0.500
Rb 0.337 0.163 0.500

Output
* ΔH_f (0 K): 60 meV per atom
* V: 40.43 Å³/atom
* energy: -0.113 Ha/atom
* D(E_F): 7.6 states/eV per cell


[9]
Entry from the Alexandria database: an optimized crystal structure of Mg2CoCu (GGA-PBE).

Lattice parameters (Å, degrees): 5.312 5.312 5.312 147.60 130.88 60.08
Sites, in units of the cell vectors:
Co 0.484 0.484 0.000
Cu 0.272 0.772 0.500
Mg 0.014 0.014 0.000
Mg 0.730 0.230 0.500

Output
* ΔH_f (0 K): 77 meV per atom
* V: 15.05 Å³/atom
* energy: -0.129 Ha/atom
* D(E_F): 3.3 states/eV per cell


[10]
Entry from the Alexandria database: an optimized crystal structure of PuHf2Al (GGA-PBE).

Lattice parameters (Å, degrees): 4.907 4.907 4.907 60.00 60.00 60.00
Sites, in units of the cell vectors:
Hf 0.250 0.250 0.250
Hf 0.750 0.750 0.750
Al 0.000 0.000 0.000
Pu 0.500 0.500 0.500

Output
* ΔH_f (0 K): 15 meV per atom
* V: 20.89 Å³/atom
* energy: -0.348 Ha/atom
* D(E_F): 11.1 states/eV per cell


[11]
Entry from the Alexandria database: an optimized crystal structure of BaRe2Mo (GGA-PBE).

Lattice parameters (Å, degrees): 5.083 5.083 9.299 74.14 74.14 90.00
Sites, in units of the cell vectors:
Re 0.375 0.125 0.250
Re 0.375 0.625 0.250
Re 0.375 0.625 0.750
Re 0.875 0.625 0.750
Mo 0.500 0.500 0.000
Mo 0.250 0.750 0.500
Ba 0.000 0.000 0.000
Ba 0.750 0.250 0.500

Output
* ΔH_f (0 K): 1267 meV per atom
* V: 27.70 Å³/atom
* energy: -0.299 Ha/atom
* D(E_F): 10.2 states/eV per cell


[12]
Entry from the Alexandria database: an optimized crystal structure of BaAlBO3F2 (GGA-PBE).

Lattice parameters (Å, degrees): 4.934 4.934 9.628 90.00 90.00 120.00
Sites, in units of the cell vectors:
Ba 0.000 0.000 0.500
Ba 0.000 0.000 0.000
Al 0.667 0.333 0.750
Al 0.333 0.667 0.250
B 0.333 0.667 0.750
B 0.667 0.333 0.250
O 0.384 0.056 0.250
O 0.328 0.944 0.750
O 0.672 0.616 0.250
O 0.616 0.672 0.750
O 0.056 0.384 0.750
O 0.944 0.328 0.250
F 0.667 0.333 0.556
F 0.333 0.667 0.444
F 0.333 0.667 0.056
F 0.667 0.333 0.944

Output
* V: 12.68 Å³/atom
* energy: -0.259 Ha/atom
* formation energy from raw total energies: -3.175 eV per atom
* D(E_F): 0.0 states/eV per cell


What did the fifth record say?
Entry from the Alexandria database: an optimized crystal structure of KInRh2Au (GGA-PBE).

Lattice parameters (Å, degrees): 4.969 5.878 4.969 90.00 90.00 90.00
Sites, in units of the cell vectors:
Rh 0.000 0.000 0.500
Rh 0.500 0.000 0.000
K 0.000 0.500 0.000
Au 0.500 0.500 0.500
In 0.000 0.000 0.000

Output
* ΔH_f (0 K): 1012 meV per atom
* V: 29.02 Å³/atom
* energy: -0.123 Ha/atom
* D(E_F): 5.7 states/eV per cell


Which of these has the lowest D(E_F)? BaAlBO3F2


Which formula does entry 12 have? BaAlBO3F2